# 1
The following is a GGA-PBE calculation of a relaxed KTlHgPd crystal, from Alexandria via LeMat-Bulk.

Properties
Energy above the lowest structure with this stoichiometry ... 0.59 eV/f.u.
ΔH_f (0 K) ... -0.08 eV/f.u.
Energy ... -2.26 eV/atom

Cell lengths 5.2219, 5.2219, 5.2219 Å; angles 60.00, 60.00, 60.00 degrees
Last column: nearest neighbours and their distance in Å.
Fractional coordinates of all 4 atoms:
Hg: 0.5000 0.5000 0.5000  4 K 3.20, 4 Pd 3.20
K: 0.2500 0.2500 0.2500  4 Hg 3.20, 4 Tl 3.20
Tl: 0.0000 0.0000 0.0000  4 Pd 3.20, 4 K 3.20
Pd: 0.7500 0.7500 0.7500  4 Tl 3.20, 4 Hg 3.20

=====

# 2
The following is a GGA-PBE calculation of a relaxed Ca2SbH2 crystal, from Alexandria via LeMat-Bulk.

Properties
Energy above the lowest structure with this stoichiometry ... 1.95 eV/f.u.
Energy ... -3.32 eV/atom

Cell lengths 7.6501, 7.6501, 3.1894 Å; angles 90.00, 90.00, 90.00 degrees
Last column: nearest neighbours and their distance in Å.
Fractional coordinates of all 10 atoms:
Sb: 0.5000 0.5000 0.0000  4 H 3.17, 2 Sb 3.19, 8 Ca 3.33
Sb: 0.0000 0.0000 0.0000  4 H 3.17, 2 Sb 3.19, 8 Ca 3.33
H: 0.5964 0.0964 0.0000  1 H 2.09
H: 0.0964 0.4036 0.0000  1 H 2.09
H: 0.4036 0.9036 0.0000  1 H 2.09
H: 0.9036 0.5964 0.0000  1 H 2.09
Ca: 0.3532 0.1468 0.5000  4 H 2.48
Ca: 0.8532 0.3532 0.5000  4 H 2.48
Ca: 0.6468 0.8532 0.5000  4 H 2.48
Ca: 0.1468 0.6468 0.5000  4 H 2.48

=====

# 3
The following is a GGA-PBE calculation of a relaxed Hg2SeNF crystal, from Alexandria via LeMat-Bulk.

Properties
Energy ... -2.37 eV/atom
Energy relative to the elements, uncorrected ... 0.49 eV per atom

Cell lengths 4.7123, 3.9325, 4.7123 Å; angles 90.00, 90.00, 90.00 degrees
Last column: nearest neighbours and their distance in Å.
Fractional coordinates of all 5 atoms:
Hg: 0.0000 0.0000 0.5000  2 N 2.36
Hg: 0.5000 0.0000 0.0000  2 N 2.36
N: 0.0000 0.0000 0.0000  2 F 1.97
F: 0.0000 0.5000 0.0000  2 N 1.97
Se: 0.5000 0.5000 0.5000  8 Hg 3.07, 4 F 3.33

=====

# 4
The following is a GGA-PBE calculation of a relaxed NaDy2Se3 crystal, from Alexandria via LeMat-Bulk.

Properties
Energy ... -5.21 eV/atom
Energy relative to the elements, uncorrected ... -1.71 eV per atom

Cell lengths 4.0890, 5.8015, 7.1662 Å; angles 113.88, 106.58, 90.00 degrees
Last column: nearest neighbours and their distance in Å.
Fractional coordinates of all 6 atoms:
Se: 0.8283 0.3283 0.1565  4 Dy 2.90, 2 Na 2.96
Se: 0.1717 0.6717 0.8435  4 Dy 2.90, 2 Na 2.96
Se: 0.5000 0.0000 0.5000  4 Dy 2.88, 2 Na 2.90
Dy: 0.1634 0.1634 0.8268  6 Se 2.88-2.90
Dy: 0.8366 0.8366 0.1732  6 Se 2.88-2.90
Na: 0.5000 0.5000 0.5000  6 Se 2.90-2.96

=====

# 5
The following is a GGA-PBE calculation of a relaxed TbPuOs2 crystal, from Alexandria via LeMat-Bulk.

Properties
ΔH_f (0 K) ... -0.05 eV/f.u.
Energy ... -10.37 eV/atom

Cell lengths 3.3919, 3.3919, 6.8745 Å; angles 90.00, 90.00, 90.00 degrees
Last column: nearest neighbours and their distance in Å.
Fractional coordinates of all 4 atoms:
Os: 0.0000 0.0000 0.2324  4 Pu 2.88, 4 Tb 3.02, 1 Os 3.19
Os: 0.0000 0.0000 0.7676  4 Pu 2.88, 4 Tb 3.02, 1 Os 3.19
Tb: 0.5000 0.5000 0.5000  8 Os 3.02
Pu: 0.5000 0.5000 0.0000  8 Os 2.88

=====

# 6
The following is a GGA-PBE calculation of a relaxed CePm6Ho3Tm2 crystal, from Alexandria via LeMat-Bulk.

Properties
ΔH_f (0 K) ... 0.45 eV/f.u.
Energy ... -4.72 eV/atom

Cell lengths 6.2189, 6.2189, 11.8246 Å; angles 95.03, 95.03, 120.00 degrees
Last column: nearest neighbours and their distance in Å.
Fractional coordinates of all 12 atoms:
Pm: 0.0830 0.4147 0.2495  1 Ce 3.56, 2 Tm 3.57, 6 Pm 3.57-3.60, 3 Ho 3.57-3.58
Pm: 0.2487 0.2487 0.7505  1 Ce 3.56, 2 Tm 3.57, 6 Pm 3.57-3.60, 3 Ho 3.58
Pm: 0.7513 0.7513 0.2495  1 Ce 3.56, 2 Tm 3.57, 6 Pm 3.57-3.60, 3 Ho 3.58
Pm: 0.4147 0.0830 0.2495  1 Ce 3.56, 2 Tm 3.57, 6 Pm 3.57-3.60, 3 Ho 3.57-3.58
Pm: 0.5853 0.9170 0.7505  1 Ce 3.56, 2 Tm 3.57, 6 Pm 3.57-3.60, 3 Ho 3.57-3.58
Pm: 0.9170 0.5853 0.7505  1 Ce 3.56, 2 Tm 3.57, 6 Pm 3.57-3.60, 3 Ho 3.57-3.58
Ce: 0.0000 0.0000 0.0000  6 Pm 3.56, 6 Tm 3.59
Ho: 0.8327 0.1673 0.5000  6 Pm 3.57-3.58, 6 Ho 3.58-3.60
Ho: 0.1673 0.8327 0.5000  6 Pm 3.57-3.58, 6 Ho 3.58-3.60
Ho: 0.5000 0.5000 0.5000  6 Pm 3.57-3.58, 6 Ho 3.58-3.59
Tm: 0.6665 0.3335 0.0000  6 Pm 3.57, 3 Tm 3.59, 3 Ce 3.59
Tm: 0.3335 0.6665 0.0000  6 Pm 3.57, 3 Tm 3.59, 3 Ce 3.59

=====

# 7
The following is a GGA-PBE calculation of a relaxed Tl2Te3As crystal, from Alexandria via LeMat-Bulk.

Properties
Energy above the lowest structure with this stoichiometry ... 0.00 eV/f.u.
Energy ... -3.25 eV/atom
Energy relative to the elements, uncorrected ... -0.11 eV per atom

Cell lengths 6.5653, 8.8386, 7.8673 Å; angles 106.45, 114.66, 90.00 degrees
Last column: nearest neighbours and their distance in Å.
Fractional coordinates of all 12 atoms:
As: 0.0701 0.2500 0.0000  5 Te 2.67-2.96
As: 0.9299 0.7500 0.0000  5 Te 2.67-2.96
Te: 0.1428 0.0710 0.2820  2 As 2.96, 3 Tl 3.29-3.31
Te: 0.1393 0.5710 0.2820  2 As 2.96, 3 Tl 3.29-3.31
Te: 0.8572 0.9290 0.7180  2 As 2.96, 3 Tl 3.29-3.31
Te: 0.4774 0.2500 0.0000  1 As 2.67
Te: 0.5226 0.7500 0.0000  1 As 2.67
Te: 0.8607 0.4290 0.7180  2 As 2.96, 3 Tl 3.29-3.31
Tl: 0.6809 0.5898 0.3578  6 Te 3.29-3.35
Tl: 0.6769 0.0898 0.3578  6 Te 3.29-3.35
Tl: 0.3231 0.9102 0.6422  6 Te 3.29-3.35
Tl: 0.3191 0.4102 0.6422  6 Te 3.29-3.35

=====

# 8
The following is a GGA-PBE calculation of a relaxed Pa2ReBr crystal, from Alexandria via LeMat-Bulk.

Properties
Energy above the lowest structure with this stoichiometry ... 0.00 eV/f.u.
Energy ... -8.63 eV/atom
Energy relative to the elements, uncorrected ... -0.35 eV per atom

Cell lengths 3.2890, 3.2890, 8.2082 Å; angles 90.00, 90.00, 90.00 degrees
Last column: nearest neighbours and their distance in Å.
Fractional coordinates of all 4 atoms:
Pa: 0.0000 0.0000 0.7769  4 Re 2.96, 4 Br 3.25, 4 Pa 3.29
Pa: 0.0000 0.0000 0.2231  4 Re 2.96, 4 Br 3.25, 4 Pa 3.29
Br: 0.5000 0.5000 0.5000  8 Pa 3.25, 4 Br 3.29
Re: 0.5000 0.5000 0.0000  8 Pa 2.96, 4 Re 3.29

=====

# 9
The following is a GGA-PBE calculation of a relaxed TaMnAs3 crystal, from Alexandria via LeMat-Bulk.

Properties
Energy above the lowest structure with this stoichiometry ... 0.00 eV/f.u.
ΔH_f (0 K) ... 2.81 eV/f.u.
Energy ... -6.43 eV/atom

Cell lengths 4.9911, 4.9911, 4.9911 Å; angles 90.00, 90.00, 90.00 degrees
Last column: nearest neighbours and their distance in Å.
Fractional coordinates of all 5 atoms:
Ta: 0.0000 0.0000 0.0000  6 As 2.50
Mn: 0.5000 0.5000 0.5000  12 As 3.53
As: 0.0000 0.5000 0.0000  2 Ta 2.50
As: 0.0000 0.0000 0.5000  2 Ta 2.50
As: 0.5000 0.0000 0.0000  2 Ta 2.50

=====

# 10
The following is a GGA-PBE calculation of a relaxed AcAsP crystal, from Alexandria via LeMat-Bulk.

Properties
Energy above the lowest structure with this stoichiometry ... 0.00 eV/f.u.
ΔH_f (0 K) ... -2.51 eV/f.u.
Energy ... -5.56 eV/atom

Cell lengths 4.1824, 4.5085, 4.5085 Å; angles 120.00, 90.00, 90.00 degrees
Last column: nearest neighbours and their distance in Å.
Fractional coordinates of all 3 atoms:
As: 0.1666 0.3333 0.6667  3 P 2.60
P: 0.1668 0.0000 0.0000  3 As 2.60
Ac: 0.6667 0.6667 0.3333  6 As 3.34, 6 P 3.34

=====

# 11
The following is a GGA-PBE calculation of a relaxed YGaPO2 crystal, from Alexandria via LeMat-Bulk.

Properties
Energy above the lowest structure with this stoichiometry ... 0.00 eV/f.u.
Energy ... -6.14 eV/atom
Energy relative to the elements, uncorrected ... -1.18 eV per atom

Cell lengths 3.9573, 3.9573, 4.7589 Å; angles 90.00, 90.00, 90.00 degrees
Last column: nearest neighbours and their distance in Å.
Fractional coordinates of all 5 atoms:
O: 0.5000 0.0000 0.0000  2 Ga 1.98
O: 0.0000 0.5000 0.0000  2 Ga 1.98
P: 0.0000 0.0000 0.5000  2 Ga 2.38
Y: 0.5000 0.5000 0.5000  4 P 2.80, 8 O 3.09
Ga: 0.0000 0.0000 0.0000  4 O 1.98

=====

# 12
The following is a GGA-PBE calculation of a relaxed SmDy4Tm crystal, from Alexandria via LeMat-Bulk.

Properties
Energy above the lowest structure with this stoichiometry ... 0.11 eV/f.u.
ΔH_f (0 K) ... 0.12 eV/f.u.
Energy ... -4.58 eV/atom

Cell lengths 5.0050, 7.9302, 11.2245 Å; angles 148.06, 90.04, 108.37 degrees
Last column: nearest neighbours and their distance in Å.
Fractional coordinates of all 6 atoms:
Dy: 0.1672 0.3342 0.4996  7 Dy 3.53-3.56, 3 Tm 3.54-3.55, 2 Sm 3.55
Dy: 0.3336 0.6674 0.9995  7 Dy 3.53-3.56, 2 Tm 3.54, 3 Sm 3.54-3.56
Dy: 0.8329 0.6658 0.5005  7 Dy 3.53-3.56, 3 Tm 3.54-3.55, 2 Sm 3.55
Dy: 0.6662 0.3326 0.0004  7 Dy 3.54-3.56, 2 Tm 3.54, 3 Sm 3.54-3.56
Tm: 0.9999 0.0001 0.0000  10 Dy 3.54-3.55, 2 Sm 3.55
Sm: 0.5001 0.9997 0.4999  10 Dy 3.54-3.56, 2 Tm 3.55

=====

| no. | calculated volume (Å³ per atom) | total moment (μB/f.u.) |
| --- | --- | --- |
| 1 | 25.17 | 0.00 |
| 2 | 18.67 | 0.00 |
| 3 | 17.46 | 0.00 |
| 4 | 24.61 | 0.00 |
| 5 | 19.77 | 4.00 |
| 6 | 32.49 | 1.37 |
| 7 | 32.85 | 0.00 |
| 8 | 22.20 | 0.00 |
| 9 | 24.87 | 4.43 |
| 10 | 24.54 | 0.00 |
| 11 | 14.91 | 0.50 |
| 12 | 31.51 | 0.00 |